Density functional theory data (GGA-PBE) for an optimized crystal structure of InIr.

Cell lengths 5.2813, 5.2813, 5.2813 Å; angles 49.47, 49.47, 49.47 degrees
Element x y z (fractional)
Ir1 0.6884 0.6884 0.6884
In1 0.1097 0.1097 0.1097
Ir2 0.3116 0.3116 0.3116
In2 0.8903 0.8903 0.8903

Volume   78.2 Å³/cell
DFT total energy   -22.9 eV/cell
DOS at the Fermi energy   0.982 states/eV per atom